NaMgAu2 | PBE-GGA | optimized geometry

POSCAR file:
```
NaMgAu2
1.0
1.7273 0.9973 8.3891
-1.7273 0.9973 8.3891
0.0000 -1.9945 8.3891
Na Mg Au
1 1 2
Direct
0.0000 0.0000 0.0000
0.5000 0.5000 0.5000
0.2411 0.2411 0.2411
0.7589 0.7589 0.7589
```

Properties
The calculation puts the calculated density at 8.5 g cm⁻³. For the formation energy, the calculation gives -270 meV/atom. As for the energy: -2.637 eV/atom. The value obtained for the density of states at the Fermi level is 1.14 states/eV per cell.

Pu2HfTe2N2 | PBE-GGA | optimized geometry

POSCAR file:
```
Pu2HfTe2N2
1.0
-2.1170 2.1170 8.1457
2.1170 -2.1170 8.1457
2.1170 2.1170 -8.1457
Pu Hf Te N
2 1 2 2
Direct
0.0985 0.0985 0.0000
0.9015 0.9015 0.0000
0.5000 0.5000 0.0000
0.3191 0.3191 0.0000
0.6809 0.6809 0.0000
0.0000 0.5000 0.5000
0.5000 0.0000 0.5000
```

Properties
The formation energy from raw total energies comes out at -1232 meV/atom. The calculation puts the calculated density at 10.8 g cm⁻³. As for the energy: -10.025 eV/atom. The value obtained for the density of states at the Fermi level is 16.91 states/eV per cell.

PuZn2Cu4Si | PBE-GGA | optimized geometry

POSCAR file:
```
PuZn2Cu4Si
1.0
2.0586 1.1885 8.6013
-2.0586 1.1885 8.6013
0.0000 -2.3771 8.6013
Pu Zn Cu Si
1 2 4 1
Direct
0.0000 0.0000 0.0000
0.2457 0.2457 0.2457
0.7543 0.7543 0.7543
0.1349 0.1349 0.1349
0.4074 0.4074 0.4074
0.5926 0.5926 0.5926
0.8651 0.8651 0.8651
0.5000 0.5000 0.5000
```

Properties
The formation energy from raw total energies comes out at 11 meV/atom. The calculation puts the calculated density at 8.6 g cm⁻³. As for the energy: -4.825 eV/atom. The value obtained for the density of states at the Fermi level is 12.83 states/eV per cell.

Q: The highest energy belongs to which entry?
A: NaMgAu2

Q: Which of these has the highest energy?
A: NaMgAu2

Q: What is the calculated density in the third record?
A: 8.6 g cm⁻³